1.
The following is a DFT calculation (GGA-PBE) of a geometry-optimized Ac4La3Y2 structure.

POSCAR file:
```
Ac4La3Y2
1.0
7.867 -1.933 0.000
7.867 1.933 0.000
-6.744 0.000 11.810
Ac La Y
4 3 2
Direct
0.118 0.118 0.361 Ac
0.370 0.370 0.120 Ac
0.630 0.630 0.880 Ac
0.882 0.882 0.639 Ac
0.000 0.000 0.000 La
0.390 0.390 0.402 La
0.610 0.610 0.598 La
0.297 0.297 0.816 Y
0.703 0.703 0.184 Y
```

Formation energy ... 0.098 eV per atom
Volume ... 359.1 Å³ per cell
Space-group type ... C2/m, No. 12

2.
The following is a DFT calculation (GGA-PBE) of a geometry-optimized Gd2BiIr structure.

POSCAR file:
```
Gd2BiIr
1.0
2.043 1.179 7.784
-2.043 1.179 7.784
0.000 -2.359 7.784
Gd Bi Ir
2 1 1
Direct
0.234 0.234 0.234 Gd
0.766 0.766 0.766 Gd
0.000 0.000 0.000 Bi
0.500 0.500 0.500 Ir
```

Formation energy ... -0.648 eV per atom
Volume ... 112.5 Å³ per cell
Distance to the lowest polymorph of the same formula ... 0.071 eV per atom
Space-group type ... R-3m, No. 166

3.
The following is a DFT calculation (GGA-PBE) of a geometry-optimized Cr2SiSb structure.

POSCAR file:
```
Cr2SiSb
1.0
1.931 -2.297 0.000
1.931 2.297 0.000
0.000 0.000 6.910
Cr Si Sb
2 1 1
Direct
0.000 0.000 0.215 Cr
0.000 0.000 0.785 Cr
0.500 0.500 0.000 Si
0.500 0.500 0.500 Sb
```

Volume ... 61.3 Å³ per cell
Distance to the lowest polymorph of the same formula ... 0.098 eV per atom
Space-group type ... Cmmm, No. 65
Formation energy from raw total energies ... 0.259 eV per atom

4.
The following is a DFT calculation (GGA-PBE) of a geometry-optimized LaNd6Er12 structure.

POSCAR file:
```
LaNd6Er12
1.0
6.625 3.825 4.206
-6.625 3.825 4.206
0.000 -7.650 4.206
La Nd Er
1 6 12
Direct
0.000 0.000 0.000 La
0.101 0.101 0.654 Nd
0.101 0.654 0.101 Nd
0.346 0.899 0.899 Nd
0.654 0.101 0.101 Nd
0.899 0.346 0.899 Nd
0.899 0.899 0.346 Nd
0.081 0.356 0.356 Er
0.243 0.500 0.757 Er
0.243 0.757 0.500 Er
0.356 0.081 0.356 Er
0.356 0.356 0.081 Er
0.500 0.243 0.757 Er
0.500 0.757 0.243 Er
0.644 0.644 0.919 Er
0.644 0.919 0.644 Er
0.757 0.243 0.500 Er
0.757 0.500 0.243 Er
0.919 0.644 0.644 Er
```

Formation energy ... 0.207 eV per atom
Volume ... 639.5 Å³ per cell
Space-group type ... R-3m, No. 166

Question: volume of number 1 (Ac4La3Y2)?
Answer: 359.1 Å³ per cell